1.
# PaHSe

An optimized crystal structure of PaHSe (PBE-GGA, the Alexandria database).

* space group: No. 216
* DOS at the Fermi energy: 1.908 states/eV/atom
* uncorrected energy: -5.899 eV/atom

abc: 4.5348 4.5348 4.5348
angles: 60.00 60.00 60.00
Element x y z (fractional)
1 Pa 0.2500 0.2500 0.2500
2 Se 0.0000 0.0000 0.0000
3 H 0.5000 0.5000 0.5000

***

2.
# LaCoH5

An optimized crystal structure of LaCoH5 (PBE-GGA, the Alexandria database).

* space group: No. 12
* uncorrected energy: -4.536 eV/atom

abc: 4.5293 4.5293 7.5904
angles: 65.40 65.40 64.26
Element x y z (fractional)
1 La 0.5000 0.5000 0.7500
2 H 0.3945 0.9256 0.4204
3 H 0.0000 0.0000 0.2500
4 H 0.0744 0.6056 0.0796
5 H 0.9257 0.3944 0.4204
6 H 0.9256 0.3945 0.9204
7 Co 0.0000 0.0000 0.0000
8 H 0.3944 0.9257 0.9204
9 H 0.6056 0.0743 0.0796
10 La 0.5000 0.5000 0.2500
11 H 0.6056 0.0744 0.5796
12 Co 0.0000 0.0000 0.5000
13 H 0.0743 0.6056 0.5796
14 H 0.0000 0.0000 0.7500

***

3.
# BaRe2Os

An optimized crystal structure of BaRe2Os (PBE-GGA, the Alexandria database).

* E_form: 1204 meV/atom
* space group: No. 71
* DOS at the Fermi energy: 0.943 states/eV/atom
* uncorrected energy: -8.308 eV/atom
* energy above the lowest structure with this stoichiometry: 154.1 kJ/mol of formula units

abc: 6.0761 6.0761 6.0761
angles: 152.84 128.24 59.42
Element x y z (fractional)
1 Re 0.9595 0.9595 0.0000
2 Ba 0.2500 0.7500 0.5000
3 Os 0.7500 0.2500 0.5000
4 Re 0.5405 0.5405 0.0000

***

4.
# CuPPb

An optimized crystal structure of CuPPb (PBE-GGA, the Alexandria database).

* E_form: -28 meV/atom
* space group: No. 187
* DOS at the Fermi energy: 0.341 states/eV/atom
* uncorrected energy: -4.433 eV/atom
* energy above the lowest structure with this stoichiometry: 0.0 kJ/mol of formula units

abc: 3.9941 3.9941 4.4425
angles: 90.00 90.00 120.00
Element x y z (fractional)
1 P 0.6667 0.3333 0.1666
2 Cu 0.0000 0.0000 0.1666
3 Pb 0.3333 0.6667 0.6668

***

5.
# Sm2Ga2Si

An optimized crystal structure of Sm2Ga2Si (PBE-GGA, the Alexandria database).

* space group: No. 38
* DOS at the Fermi energy: 0.500 states/eV/atom
* uncorrected energy: -4.813 eV/atom
* energy above the lowest structure with this stoichiometry: 19.8 kJ/mol of formula units
* ΔE_f (raw): -630 meV per atom

abc: 4.1302 3.9668 7.1683
angles: 106.06 90.00 90.00
Element x y z (fractional)
1 Sm 0.0000 0.6809 0.3618
2 Ga 0.5000 0.5070 0.0139
3 Si 0.5000 0.1108 0.2217
4 Sm 0.0000 0.9356 0.8712
5 Ga 0.5000 0.3077 0.6155

***

6.
# ErBeAlNi

An optimized crystal structure of ErBeAlNi (PBE-GGA, the Alexandria database).

* E_form: -312 meV/atom
* space group: No. 216
* DOS at the Fermi energy: 0.521 states/eV/atom
* uncorrected energy: -4.765 eV/atom

abc: 4.4071 4.4071 4.4071
angles: 60.00 60.00 60.00
Element x y z (fractional)
1 Ni 0.7500 0.7500 0.7500
2 Er 0.0000 0.0000 0.0000
3 Al 0.5000 0.5000 0.5000
4 Be 0.2500 0.2500 0.2500

***

7.
# GaSeIO2

An optimized crystal structure of GaSeIO2 (PBE-GGA, the Alexandria database).

* space group: No. 123
* DOS at the Fermi energy: 0.501 states/eV/atom
* uncorrected energy: -3.783 eV/atom
* energy above the lowest structure with this stoichiometry: 0.0 kJ/mol of formula units
* ΔE_f (raw): -187 meV per atom

abc: 3.8703 3.8703 7.4443
angles: 90.00 90.00 90.00
Element x y z (fractional)
1 O 0.5000 0.0000 0.0000
2 Ga 0.0000 0.0000 0.0000
3 O 0.0000 0.5000 0.0000
4 Se 0.5000 0.5000 0.5000
5 I 0.0000 0.0000 0.5000

***

8.
# La2Ho2ErIn5

An optimized crystal structure of La2Ho2ErIn5 (PBE-GGA, the Alexandria database).

* E_form: -356 meV/atom
* space group: No. 127
* DOS at the Fermi energy: 0.858 states/eV/atom
* uncorrected energy: -4.082 eV/atom

abc: 4.6352 11.0700 11.0700
angles: 90.00 90.00 90.00
Element x y z (fractional)
1 Er 0.0000 0.0000 0.0000
2 In 0.5000 0.0000 0.5000
3 Ho 0.0000 0.8747 0.3747
4 La 0.0000 0.1762 0.3238
5 In 0.5000 0.8068 0.9388
6 La 0.0000 0.6762 0.1762
7 Ho 0.0000 0.6253 0.8747
8 In 0.5000 0.1932 0.0612
9 Er 0.0000 0.5000 0.5000
10 Ho 0.0000 0.3747 0.1253
11 In 0.5000 0.0612 0.8068
12 In 0.5000 0.5000 0.0000
13 In 0.5000 0.3068 0.5612
14 In 0.5000 0.9388 0.1932
15 Ho 0.0000 0.1253 0.6253
16 In 0.5000 0.6932 0.4388
17 La 0.0000 0.3238 0.8238
18 In 0.5000 0.5612 0.6932
19 In 0.5000 0.4388 0.3068
20 La 0.0000 0.8238 0.6762

***

9.
# LaHoCo

An optimized crystal structure of LaHoCo (PBE-GGA, the Alexandria database).

* E_form: -130 meV/atom
* space group: No. 2
* DOS at the Fermi energy: 1.266 states/eV/atom
* uncorrected energy: -5.667 eV/atom
* energy above the lowest structure with this stoichiometry: 6.2 kJ/mol of formula units

abc: 3.7591 6.0036 7.3211
angles: 91.42 75.36 108.30
Element x y z (fractional)
1 Ho 0.7024 0.2828 0.3764
2 La 0.4225 0.2337 0.8853
3 Co 0.0035 0.8719 0.3624
4 La 0.5775 0.7663 0.1147
5 Ho 0.2976 0.7172 0.6236
6 Co 0.9965 0.1281 0.6376

***

10.
# FeTc

An optimized crystal structure of FeTc (PBE-GGA, the Alexandria database).

* E_form: 314 meV/atom
* space group: No. 176
* DOS at the Fermi energy: 1.099 states/eV/atom
* uncorrected energy: -9.100 eV/atom

abc: 6.9235 6.9235 3.9348
angles: 90.00 90.00 120.00
Element x y z (fractional)
1 Fe 0.8162 0.7783 0.7500
2 Fe 0.0378 0.8162 0.2500
3 Tc 0.8960 0.3716 0.2500
4 Fe 0.7783 0.9622 0.2500
5 Tc 0.1040 0.6284 0.7500
6 Tc 0.3716 0.4756 0.7500
7 Tc 0.5244 0.8960 0.7500
8 Fe 0.9622 0.1838 0.7500
9 Tc 0.4756 0.1040 0.2500
10 Fe 0.2217 0.0378 0.7500
11 Tc 0.6284 0.5244 0.2500
12 Fe 0.1838 0.2217 0.2500

***

11.
# RuPbI

An optimized crystal structure of RuPbI (PBE-GGA, the Alexandria database).

* space group: No. 1
* DOS at the Fermi energy: 1.017 states/eV/atom
* uncorrected energy: -4.639 eV/atom
* energy above the lowest structure with this stoichiometry: 0.1 kJ/mol of formula units
* ΔE_f (raw): 206 meV per atom

abc: 3.9467 5.5737 8.7393
angles: 88.14 77.30 90.01
Element x y z (fractional)
1 Pb 0.4546 0.6259 0.0330
2 Ru 0.0066 0.2886 0.9258
3 I 0.1368 0.5844 0.6607
4 I 0.8306 0.0337 0.2873
5 Ru 0.4393 0.1110 0.0644
6 Pb 0.6059 0.0774 0.7217

***

12.
# YPSe2

An optimized crystal structure of YPSe2 (PBE-GGA, the Alexandria database).

* space group: No. 216
* DOS at the Fermi energy: 1.630 states/eV/atom
* uncorrected energy: -4.960 eV/atom
* ΔE_f (raw): -249 meV per atom

abc: 4.9438 4.9438 4.9438
angles: 60.00 60.00 60.00
Element x y z (fractional)
1 Y 0.2500 0.2500 0.2500
2 Se 0.0000 0.0000 0.0000
3 P 0.5000 0.5000 0.5000
4 Se 0.7500 0.7500 0.7500

***

13.
# ZrMo2Se

An optimized crystal structure of ZrMo2Se (PBE-GGA, the Alexandria database).

* space group: No. 99
* DOS at the Fermi energy: 0.872 states/eV/atom
* uncorrected energy: -8.559 eV/atom
* ΔE_f (raw): -135 meV per atom

abc: 3.2669 3.2669 6.6892
angles: 90.00 90.00 90.00
Element x y z (fractional)
1 Mo 0.5000 0.5000 0.2278
2 Zr 0.5000 0.5000 0.7457
3 Mo 0.0000 0.0000 0.0308
4 Se 0.0000 0.0000 0.4957

***

14.
# HfMoSe2Br

An optimized crystal structure of HfMoSe2Br (PBE-GGA, the Alexandria database).

* space group: No. 123
* DOS at the Fermi energy: 0.492 states/eV/atom
* uncorrected energy: -5.718 eV/atom
* energy above the lowest structure with this stoichiometry: 0.0 kJ/mol of formula units
* ΔE_f (raw): 167 meV per atom

abc: 5.1894 5.1894 5.2087
angles: 90.00 90.00 90.00
Element x y z (fractional)
1 Se 0.0000 0.5000 0.0000
2 Hf 0.0000 0.0000 0.0000
3 Br 0.0000 0.0000 0.5000
4 Se 0.5000 0.0000 0.0000
5 Mo 0.5000 0.5000 0.5000

***

15.
# Mn2BiOs

An optimized crystal structure of Mn2BiOs (PBE-GGA, the Alexandria database).

* E_form: 962 meV/atom
* space group: No. 122
* DOS at the Fermi energy: 1.173 states/eV/atom
* uncorrected energy: -7.400 eV/atom

abc: 4.0354 4.0354 9.5479
angles: 77.80 77.80 90.00
Element x y z (fractional)
1 Mn 0.3750 0.3998 0.7500
2 Mn 0.6002 0.1250 0.2500
3 Mn 0.8750 0.8502 0.7500
4 Bi 0.0000 0.0000 0.0000
5 Os 0.2500 0.7500 0.5000
6 Bi 0.7500 0.2500 0.5000
7 Os 0.5000 0.5000 0.0000
8 Mn 0.1498 0.6250 0.2500

***

16.
# La7Ga2N2

An optimized crystal structure of La7Ga2N2 (PBE-GGA, the Alexandria database).

* space group: No. 12
* DOS at the Fermi energy: 0.787 states/eV/atom
* uncorrected energy: -5.791 eV/atom
* ΔE_f (raw): -591 meV per atom

abc: 6.9116 6.7017 6.9116
angles: 95.13 114.09 84.87
Element x y z (fractional)
1 N 0.7728 0.0240 0.2272
2 La 0.0000 0.0000 0.0000
3 N 0.2272 0.9760 0.7728
4 La 0.4428 0.7870 0.5572
5 La 0.5572 0.2130 0.4428
6 Ga 0.1673 0.5000 0.1673
7 La 0.9557 0.7594 0.4923
8 Ga 0.8327 0.5000 0.8327
9 La 0.4923 0.2406 0.9557
10 La 0.0443 0.2406 0.5077
11 La 0.5077 0.7594 0.0443

***

17.
# Rb2EuBr

An optimized crystal structure of Rb2EuBr (PBE-GGA, the Alexandria database).

* space group: No. 166
* DOS at the Fermi energy: 0.707 states/eV/atom
* uncorrected energy: -4.111 eV/atom
* ΔE_f (raw): -640 meV per atom

abc: 4.4531 4.4531 13.1671
angles: 80.26 80.26 60.00
Element x y z (fractional)
1 Eu 0.0000 0.0000 0.0000
2 Br 0.5000 0.5000 0.5000
3 Rb 0.1087 0.1087 0.6739
4 Rb 0.8913 0.8913 0.3261

***

18.
# GaCu2Sb

An optimized crystal structure of GaCu2Sb (PBE-GGA, the Alexandria database).

* space group: No. 225
* DOS at the Fermi energy: 0.202 states/eV/atom
* uncorrected energy: -3.650 eV/atom
* energy above the lowest structure with this stoichiometry: 22.8 kJ/mol of formula units
* ΔE_f (raw): 186 meV per atom

abc: 4.6138 4.6138 4.6138
angles: 60.00 60.00 60.00
Element x y z (fractional)
1 Cu 0.2500 0.2500 0.2500
2 Ga 0.0000 0.0000 0.0000
3 Cu 0.7500 0.7500 0.7500
4 Sb 0.5000 0.5000 0.5000

***

19.
# AcGaP2

An optimized crystal structure of AcGaP2 (PBE-GGA, the Alexandria database).

* E_form: -433 meV/atom
* space group: No. 123
* DOS at the Fermi energy: 0.296 states/eV/atom
* uncorrected energy: -4.922 eV/atom
* energy above the lowest structure with this stoichiometry: 39.6 kJ/mol of formula units

abc: 3.8375 3.8375 6.0374
angles: 90.00 90.00 90.00
Element x y z (fractional)
1 P 0.0000 0.0000 0.8091
2 P 0.0000 0.0000 0.1909
3 Ac 0.5000 0.5000 0.5000
4 Ga 0.5000 0.5000 0.0000

***

20.
# NiSe4

An optimized crystal structure of NiSe4 (PBE-GGA, the Alexandria database).

* space group: No. 229
* DOS at the Fermi energy: 0.774 states/eV/atom
* uncorrected energy: -3.714 eV/atom
* energy above the lowest structure with this stoichiometry: 153.7 kJ/mol of formula units
* ΔE_f (raw): 230 meV per atom

abc: 5.1251 5.1251 5.1251
angles: 109.47 109.47 109.47
Element x y z (fractional)
1 Se 0.5000 0.0000 0.0000
2 Ni 0.0000 0.0000 0.0000
3 Se 0.0000 0.0000 0.5000
4 Se 0.0000 0.5000 0.0000
5 Se 0.5000 0.5000 0.5000

***

21.
# Li5CeSe4

An optimized crystal structure of Li5CeSe4 (PBE-GGA, the Alexandria database).

* space group: No. 71
* DOS at the Fermi energy: 0.466 states/eV/atom
* uncorrected energy: -4.303 eV/atom
* ΔE_f (raw): -1358 meV per atom

abc: 4.1893 7.5271 8.2994
angles: 116.97 104.62 90.00
Element x y z (fractional)
1 Li 0.8205 0.6127 0.6411
2 Se 0.0000 0.2706 0.0000
3 Se 0.2863 0.7863 0.5727
4 Li 0.1795 0.9716 0.3589
5 Li 0.1795 0.3873 0.3589
6 Se 0.0000 0.7294 0.0000
7 Li 0.5000 0.5000 0.0000
8 Ce 0.5000 0.0000 0.0000
9 Se 0.7137 0.2137 0.4273
10 Li 0.8205 0.0284 0.6411

***

22.
# Ca2LaMn

An optimized crystal structure of Ca2LaMn (PBE-GGA, the Alexandria database).

* E_form: 323 meV/atom
* space group: No. 123
* DOS at the Fermi energy: 1.347 states/eV/atom
* uncorrected energy: -4.202 eV/atom
* energy above the lowest structure with this stoichiometry: 50.2 kJ/mol of formula units

abc: 3.7004 3.7013 9.3628
angles: 90.00 90.00 90.00
Element x y z (fractional)
1 Ca 0.0000 0.0000 0.5543
2 Ca 0.0000 0.0000 0.9457
3 La 0.5000 0.5000 0.2500
4 Mn 0.5000 0.5000 0.7500

***

23.
# LiCa2Br

An optimized crystal structure of LiCa2Br (PBE-GGA, the Alexandria database).

* space group: No. 35
* DOS at the Fermi energy: 0.556 states/eV/atom
* uncorrected energy: -2.513 eV/atom
* energy above the lowest structure with this stoichiometry: 8.2 kJ/mol of formula units
* ΔE_f (raw): -616 meV per atom

abc: 3.8109 3.8109 9.8712
angles: 90.00 90.00 114.99
Element x y z (fractional)
1 Li 0.0000 0.0000 0.5512
2 Ca 0.5000 0.5000 0.2666
3 Br 0.5000 0.5000 0.7276
4 Ca 0.0000 0.0000 0.9546

***

24.
# PrNd4Pd2

An optimized crystal structure of PrNd4Pd2 (PBE-GGA, the Alexandria database).

* E_form: -287 meV/atom
* space group: No. 11
* DOS at the Fermi energy: 1.019 states/eV/atom
* uncorrected energy: -5.178 eV/atom
* energy above the lowest structure with this stoichiometry: 11.3 kJ/mol of formula units

abc: 6.6808 8.1535 8.1638
angles: 110.42 90.00 90.00
Element x y z (fractional)
1 Nd 0.2500 0.5748 0.5486
2 Pd 0.7500 0.0675 0.4317
3 Pr 0.7500 0.8557 0.6447
4 Nd 0.2500 0.9500 0.9250
5 Pd 0.2500 0.3652 0.1338
6 Nd 0.7500 0.0500 0.0750
7 Pd 0.7500 0.6348 0.8662
8 Pd 0.2500 0.9325 0.5683
9 Nd 0.0001 0.2985 0.7982
10 Nd 0.5001 0.7015 0.2018
11 Nd 0.4999 0.2985 0.7982
12 Nd 0.9999 0.7015 0.2018
13 Pr 0.2500 0.1443 0.3553
14 Nd 0.7500 0.4252 0.4514

***

25.
# CsNaMg2Cd

An optimized crystal structure of CsNaMg2Cd (PBE-GGA, the Alexandria database).

* E_form: 117 meV/atom
* space group: No. 123
* DOS at the Fermi energy: 0.545 states/eV/atom
* uncorrected energy: -1.138 eV/atom

abc: 5.5365 5.5365 6.1626
angles: 90.00 90.00 90.00
Element x y z (fractional)
1 Cd 0.0000 0.0000 0.0000
2 Na 0.0000 0.0000 0.5000
3 Mg 0.5000 0.0000 0.0000
4 Mg 0.0000 0.5000 0.0000
5 Cs 0.5000 0.5000 0.5000

***

26.
# TaCr2Te

An optimized crystal structure of TaCr2Te (PBE-GGA, the Alexandria database).

* space group: No. 99
* DOS at the Fermi energy: 0.883 states/eV/atom
* uncorrected energy: -8.207 eV/atom
* ΔE_f (raw): 353 meV per atom

abc: 3.3401 3.3398 6.1094
angles: 90.00 90.00 90.00
Element x y z (fractional)
1 Cr 0.0000 0.0000 0.0333
2 Ta 0.0000 0.0000 0.4954
3 Cr 0.5000 0.5000 0.2211
4 Te 0.5000 0.5000 0.7502